Record 1
SrAg2As2: optimized geometry, PBEsol.

Cell: 4.3126 4.3126 11.5201 Å, 90.00 90.00 90.00°
Closest atoms and distances in Å follow each position.
Space group I4/mmm (No. 139)
Unique sites:
Sr1 0.0000 0.0000 0.0000 (multiplicity 2)  8 As 3.31, 8 Ag 3.60
Ag1 0.0000 0.5000 0.2500 (multiplicity 4)  4 As 2.68
As1 0.0000 0.0000 0.3875 (multiplicity 4)  1 As 2.59, 4 Ag 2.68

Properties
DOS at the Fermi energy, states/eV/cell: 4.00
Formation energy, meV per atom: -472.1

---

Record 2
SrAgAs: optimized geometry, PBEsol.

Cell: 4.4888 4.4888 8.2814 Å, 90.00 90.00 120.00°
Closest atoms and distances in Å follow each position.
Space group P6_3/mmc (No. 194)
Unique sites:
Sr1 0.0000 0.0000 0.0000 (multiplicity 2)  6 As 3.32, 6 Ag 3.32
Ag1 0.3333 0.6667 0.2500 (multiplicity 2)  3 As 2.59
As1 0.3333 0.6667 0.7500 (multiplicity 2)  3 Ag 2.59

Properties
DOS at the Fermi energy, states/eV/cell: 0.04
Formation energy, meV per atom: -801.3

---

Record 3
Ta2AgAs: optimized geometry, PBEsol.

Cell: 5.0456 2.7788 5.3629 Å, 90.00 115.05 90.00°
Closest atoms and distances in Å follow each position.
Space group P2/m (No. 10)
Unique sites:
Ta1 0.0000 0.0000 0.0000 (multiplicity 1)  6 Ta 2.78-3.02, 2 Ag 2.80, 4 As 2.88
Ta2 0.0000 0.5000 0.5000 (multiplicity 1)  6 Ta 2.78-3.02, 2 As 2.80, 4 Ag 2.88
Ag1 0.5000 0.0000 0.5000 (multiplicity 1)  2 Ag 2.78, 6 Ta 2.80-2.88, 4 As 3.02
As1 0.5000 0.5000 0.0000 (multiplicity 1)  2 As 2.78, 6 Ta 2.80-2.88, 4 Ag 3.02

Properties
DOS at the Fermi energy, states/eV/cell: 3.28
Formation energy, meV per atom: 267.1

---

Record 4
Ta2AgAs: optimized geometry, PBEsol.

Cell: 4.0545 4.0545 8.1131 Å, 90.00 90.00 90.00°
Closest atoms and distances in Å follow each position.
Space group I4/mmm (No. 139)
Unique sites:
Ta1 0.0000 0.5000 0.2500 (multiplicity 4)  4 Ta 2.87, 4 Ag 2.87, 4 As 2.87
Ag1 0.0000 0.0000 0.0000 (multiplicity 2)  4 As 2.87, 8 Ta 2.87
As1 0.0000 0.0000 0.5000 (multiplicity 2)  4 Ag 2.87, 8 Ta 2.87

Properties
DOS at the Fermi energy, states/eV/cell: 4.70
Formation energy, meV per atom: 173.2

---

Record 5
TaAgAs3: optimized geometry, PBEsol.

Cell: 4.9252 4.9252 4.9252 Å, 90.00 90.00 90.00°
Closest atoms and distances in Å follow each position.
Space group Pm-3m (No. 221)
Unique sites:
Ta1 0.0000 0.0000 0.0000 (multiplicity 1)  6 As 2.46
Ag1 0.5000 0.5000 0.5000 (multiplicity 1)  12 As 3.48
As1 0.0000 0.0000 0.5000 (multiplicity 3)  2 Ta 2.46

Properties
DOS at the Fermi energy, states/eV/cell: 2.84
Formation energy, meV per atom: 498.2

---

Record 6
Ta2AgAs: optimized geometry, PBEsol.

Cell: 2.9052 2.9052 27.7451 Å, 90.00 90.00 120.00°
Closest atoms and distances in Å follow each position.
Space group R-3m (No. 166, hexagonal axes)
Unique sites:
Ta1 0.0000 0.0000 0.2465 (multiplicity 6)  3 As 2.78, 6 Ta 2.91, 3 Ag 2.94
Ag1 0.0000 0.0000 0.0000 (multiplicity 3)  6 Ag 2.91, 6 Ta 2.94
As1 0.0000 0.0000 0.5000 (multiplicity 3)  6 Ta 2.78, 6 As 2.91

Properties
DOS at the Fermi energy, states/eV/cell: 9.74
Formation energy, meV per atom: 205.0

---

Record 7
TbZnAgAs2: optimized geometry, PBEsol.

Cell: 4.1837 4.1837 6.7508 Å, 90.00 90.00 120.00°
Closest atoms and distances in Å follow each position.
Space group P3m1 (No. 156)
Unique sites:
Tb1 0.0000 0.0000 0.0000 (multiplicity 1)  6 As 2.84-2.96
Zn1 0.3333 0.6667 0.6096 (multiplicity 1)  4 As 2.58-2.62
Ag1 0.6667 0.3333 0.3537 (multiplicity 1)  4 As 2.57-2.64
As1 0.3333 0.6667 0.2221 (multiplicity 1)  3 Ag 2.57, 1 Zn 2.62, 3 Tb 2.84
As2 0.6667 0.3333 0.7453 (multiplicity 1)  3 Zn 2.58, 1 Ag 2.64

Properties
DOS at the Fermi energy, states/eV/cell: 0.01
Formation energy, meV per atom: -627.6

---

Record 8
TcAgAs: optimized geometry, PBEsol.

Cell: 3.1079 3.1079 9.8580 Å, 90.00 90.00 90.00°
Closest atoms and distances in Å follow each position.
Space group I4mm (No. 107)
Unique sites:
Tc1 0.0000 0.0000 0.0000 (multiplicity 2)  4 As 2.48
Ag1 0.0000 0.0000 0.3060 (multiplicity 2)  5 As 2.88-3.07, 5 Tc 2.91-3.02, 4 Ag 3.11
As1 0.0000 0.0000 0.6172 (multiplicity 2)  4 Tc 2.48

Properties
DOS at the Fermi energy, states/eV/cell: 5.08
Formation energy, meV per atom: 209.4
Energy relative to the lowest polymorph listed for this composition, meV per atom: 0